1.
This record from the Alexandria database describes a relaxed structure of Li3SiH. The functional is PBE.

The relative energy among the computed polymorphs comes out at 0.730 eV per atom. The crystal system is cubic.

It has space group Pm-3m (No. 221), with a = 4.969 Å, b = 4.969 Å, c = 4.969 Å, α = 90.00°, β = 90.00° and γ = 90.00°. The asymmetric unit holds Li at (0.000, 0.000, 0.500), Si at (0.000, 0.000, 0.000) and H at (0.500, 0.500, 0.500).

2.
This record from the Alexandria database describes a relaxed structure of ErPu2Hg. The functional is PBE.

The crystal system is tetragonal. The formation enthalpy at 0 K is -0.046 eV per atom.

It has space group P4/mmm (No. 123), with a = 4.421 Å, b = 4.421 Å, c = 5.275 Å, α = 90.00°, β = 90.00° and γ = 90.00°. The asymmetric unit holds Er at (0.000, 0.000, 0.000), Pu at (0.000, 0.500, 0.500) and Hg at (0.500, 0.500, 0.000).

3.
This record from the Alexandria database describes a relaxed structure of RbAs. The functional is PBE.

The relative energy among the computed polymorphs comes out at 0.224 eV per atom. The crystal system is tetragonal. The formation enthalpy at 0 K is -0.208 eV per atom.

It has space group P4_2/mnm (No. 136), with a = 7.435 Å, b = 7.435 Å, c = 6.887 Å, α = 90.00°, β = 90.00° and γ = 90.00°. The asymmetric unit holds Rb at (0.188, 0.188, 0.000) and As at (0.111, 0.111, 0.500).

4.
This record from the Alexandria database describes a relaxed structure of Zr2TaAs. The functional is PBE.

The crystal system is tetragonal. The formation enthalpy at 0 K is -0.150 eV per atom.

It has space group I4/mmm (No. 139), with a = 4.256 Å, b = 4.256 Å, c = 8.680 Å, α = 90.00°, β = 90.00° and γ = 90.00°. The asymmetric unit holds Zr at (0.000, 0.500, 0.250), Ta at (0.000, 0.000, 0.000) and As at (0.000, 0.000, 0.500).

5.
This record from the Alexandria database describes a relaxed structure of Y2BePbN. The functional is PBE.

The uncorrected formation energy is -0.6512 eV per atom. The crystal system is tetragonal.

It has space group P4/mmm (No. 123), with a = 5.271 Å, b = 5.271 Å, c = 3.405 Å, α = 90.00°, β = 90.00° and γ = 90.00°. The asymmetric unit holds Y at (0.000, 0.500, 0.000), Be at (0.000, 0.000, 0.500), Pb at (0.500, 0.500, 0.500) and N at (0.000, 0.000, 0.000).

6.
This record from the Alexandria database describes a relaxed structure of Ni2HOsRu. The functional is PBE.

The relative energy among the computed polymorphs comes out at 0.012 eV per atom. The crystal system is tetragonal.

It has space group P4/mmm (No. 123), with a = 3.746 Å, b = 3.746 Å, c = 3.758 Å, α = 90.00°, β = 90.00° and γ = 90.00°. The asymmetric unit holds Ni at (0.000, 0.500, 0.000), H at (0.000, 0.000, 0.000), Os at (0.000, 0.000, 0.500) and Ru at (0.500, 0.500, 0.500).

7.
This record from the Alexandria database describes a relaxed structure of Ca2Pd5PbAu2. The functional is PBE.

The crystal system is tetragonal. The formation enthalpy at 0 K is -0.532 eV per atom.

It has space group P4/mbm (No. 127), with a = 9.774 Å, b = 9.774 Å, c = 4.142 Å, α = 90.00°, β = 90.00° and γ = 90.00°. The asymmetric unit holds Ca at (0.169, 0.331, 0.000), Pd at (0.000, 0.500, 0.500), Pd at (0.065, 0.799, 0.500), Pb at (0.000, 0.000, 0.000) and Au at (0.128, 0.628, 0.000).

8.
This record from the Alexandria database describes a relaxed structure of SrMgZr. The functional is PBE.

The relative energy among the computed polymorphs comes out at 0.000 eV per atom. The crystal system is tetragonal. The formation enthalpy at 0 K is 0.148 eV per atom.

It has space group P4mm (No. 99), with a = 3.581 Å, b = 3.581 Å, c = 14.281 Å, α = 90.00°, β = 90.00° and γ = 90.00°. The asymmetric unit holds Sr at (0.000, 0.000, 0.000), Sr at (0.000, 0.000, 0.370), Mg at (0.500, 0.500, 0.186), Mg at (0.500, 0.500, 0.546), Zr at (0.000, 0.000, 0.677) and Zr at (0.500, 0.500, 0.802).

9.
This record from the Alexandria database describes a relaxed structure of Ge2NCl. The functional is PBE.

The uncorrected formation energy is 0.2299 eV per atom. The relative energy among the computed polymorphs comes out at 0.000 eV per atom. The crystal system is tetragonal.

It has space group I-42d (No. 122), with a = 6.665 Å, b = 6.665 Å, c = 6.801 Å, α = 90.00°, β = 90.00° and γ = 90.00°. The asymmetric unit holds Ge at (0.148, 0.750, 0.125), N at (0.000, 0.000, 0.000) and Cl at (0.000, 0.000, 0.500).

10.
This record from the Alexandria database describes a relaxed structure of Al2ZnOs. The functional is PBE.

The crystal system is tetragonal. The formation enthalpy at 0 K is 0.065 eV per atom.

It has space group P4mm (No. 99), with a = 2.821 Å, b = 2.821 Å, c = 7.716 Å, α = 90.00°, β = 90.00° and γ = 90.00°. The asymmetric unit holds Al at (0.000, 0.000, 0.000), Al at (0.500, 0.500, 0.279), Zn at (0.500, 0.500, 0.733) and Os at (0.000, 0.000, 0.495).

11.
This record from the Alexandria database describes a relaxed structure of Tm2Bi2C. The functional is PBE.

The crystal system is orthorhombic. The formation enthalpy at 0 K is -0.174 eV per atom.

It has space group Ibam (No. 72), with a = 7.392 Å, b = 12.613 Å, c = 5.823 Å, α = 90.00°, β = 90.00° and γ = 90.00°. The asymmetric unit holds Tm at (0.180, 0.083, 0.000), Bi at (0.122, 0.339, 0.000) and C at (0.000, 0.000, 0.250).

12.
This record from the Alexandria database describes a relaxed structure of K5Rb2Pd. The functional is PBE.

The crystal system is monoclinic. The formation enthalpy at 0 K is 0.059 eV per atom.

It has space group Cm (No. 8), with a = 14.358 Å, b = 9.744 Å, c = 8.477 Å, α = 90.00°, β = 116.11° and γ = 90.00°. The asymmetric unit holds K at (0.000, 0.000, 0.000), K at (0.140, 0.270, 0.448), K at (0.278, 0.230, 0.999), Rb at (0.393, 0.500, 0.487), Rb at (0.499, 0.000, 0.754) and Pd at (0.250, 0.500, 0.748).

Calculated values (Å³ per atom) of volume for the records, taken in order: 24.54 25.77 47.58 19.66 18.92 10.54 19.78 30.52 18.88 15.35 27.15 66.55.